# 1
# Rb3In4Sn7, optimized geometry, DFT PBE-GGA
data_Rb3In4Sn7
_chemical_formula_sum 'Rb3 In4 Sn7'
_symmetry_space_group_name_H-M 'P 1'
_symmetry_Int_Tables_number 1
_cell_length_a 5.215
_cell_length_b 9.923
_cell_length_c 9.745
_cell_angle_alpha 71.98
_cell_angle_beta 74.48
_cell_angle_gamma 74.77
loop_
_symmetry_equiv_pos_as_xyz
'x,y,z'
loop_
_atom_site_label
_atom_site_type_symbol
_atom_site_fract_x
_atom_site_fract_y
_atom_site_fract_z
_atom_site_occupancy
Rb1 Rb 0.305 0.193 0.198 1
Rb2 Rb 0.695 0.807 0.802 1
Rb3 Rb 0.000 0.500 0.500 1
In1 In 0.668 0.467 0.197 1
In2 In 0.332 0.533 0.803 1
In3 In 0.850 0.927 0.373 1
In4 In 0.150 0.073 0.627 1
Sn1 Sn 0.345 0.788 0.523 1
Sn2 Sn 0.497 0.199 0.806 1
Sn3 Sn 0.863 0.360 0.915 1
Sn4 Sn 0.655 0.212 0.477 1
Sn5 Sn 0.137 0.640 0.085 1
Sn6 Sn 0.000 0.000 0.000 1
Sn7 Sn 0.503 0.801 0.194 1
# N(E_F) = 6.05 states/eV per cell
# ΔH_f (0 K) = -0.109 eV per atom
# space group = C2/m


# 2
# CsSb2TeAu, optimized geometry, DFT PBE-GGA
data_CsSb2TeAu
_chemical_formula_sum 'Cs1 Sb2 Te1 Au1'
_symmetry_space_group_name_H-M 'P 1'
_symmetry_Int_Tables_number 1
_cell_length_a 5.531
_cell_length_b 5.531
_cell_length_c 5.859
_cell_angle_alpha 90.00
_cell_angle_beta 90.00
_cell_angle_gamma 90.00
loop_
_symmetry_equiv_pos_as_xyz
'x,y,z'
loop_
_atom_site_label
_atom_site_type_symbol
_atom_site_fract_x
_atom_site_fract_y
_atom_site_fract_z
_atom_site_occupancy
Cs1 Cs 0.500 0.500 0.500 1
Sb1 Sb 0.000 0.500 0.000 1
Sb2 Sb 0.500 0.000 0.000 1
Te1 Te 0.000 0.000 0.500 1
Au1 Au 0.000 0.000 0.000 1
# N(E_F) = 4.64 states/eV per cell
# polymorph energy (0 for the lowest one) = 0 meV per atom
# ΔE_f (raw) = 7 kJ/mol of atoms
# space group = P4/mmm


# 3
# NpSi4, optimized geometry, DFT PBE-GGA
data_NpSi4
_chemical_formula_sum 'Np1 Si4'
_symmetry_space_group_name_H-M 'P 1'
_symmetry_Int_Tables_number 1
_cell_length_a 5.168
_cell_length_b 5.168
_cell_length_c 5.168
_cell_angle_alpha 90.00
_cell_angle_beta 90.00
_cell_angle_gamma 90.00
loop_
_symmetry_equiv_pos_as_xyz
'x,y,z'
loop_
_atom_site_label
_atom_site_type_symbol
_atom_site_fract_x
_atom_site_fract_y
_atom_site_fract_z
_atom_site_occupancy
Np1 Np 0.500 0.500 0.500 1
Si1 Si 0.000 0.000 0.000 1
Si2 Si 0.500 0.000 0.500 1
Si3 Si 0.000 0.500 0.500 1
Si4 Si 0.500 0.500 0.000 1
# N(E_F) = 8.71 states/eV per cell
# ΔE_f (raw) = 152 kJ/mol of atoms
# space group = Pm-3m


# 4
# Na2TiTc, optimized geometry, DFT PBE-GGA
data_Na2TiTc
_chemical_formula_sum 'Na2 Ti1 Tc1'
_symmetry_space_group_name_H-M 'P 1'
_symmetry_Int_Tables_number 1
_cell_length_a 4.751
_cell_length_b 4.751
_cell_length_c 4.751
_cell_angle_alpha 60.00
_cell_angle_beta 60.00
_cell_angle_gamma 60.00
loop_
_symmetry_equiv_pos_as_xyz
'x,y,z'
loop_
_atom_site_label
_atom_site_type_symbol
_atom_site_fract_x
_atom_site_fract_y
_atom_site_fract_z
_atom_site_occupancy
Na1 Na 0.250 0.250 0.250 1
Na2 Na 0.750 0.750 0.750 1
Tc1 Tc 0.500 0.500 0.500 1
Ti1 Ti 0.000 0.000 0.000 1
# N(E_F) = 6.35 states/eV per cell
# polymorph energy (0 for the lowest one) = 687 meV per atom
# ΔH_f (0 K) = 1.363 eV per atom
# space group = Fm-3m


# 5
# AgAsW2, optimized geometry, DFT PBE-GGA
data_AgAsW2
_chemical_formula_sum 'Ag1 As1 W2'
_symmetry_space_group_name_H-M 'P 1'
_symmetry_Int_Tables_number 1
_cell_length_a 3.028
_cell_length_b 3.028
_cell_length_c 7.033
_cell_angle_alpha 90.00
_cell_angle_beta 90.00
_cell_angle_gamma 90.00
loop_
_symmetry_equiv_pos_as_xyz
'x,y,z'
loop_
_atom_site_label
_atom_site_type_symbol
_atom_site_fract_x
_atom_site_fract_y
_atom_site_fract_z
_atom_site_occupancy
As1 As 0.500 0.500 0.750 1
Ag1 Ag 0.500 0.500 0.250 1
W1 W 0.000 0.000 0.968 1
W2 W 0.000 0.000 0.532 1
# N(E_F) = 2.11 states/eV per cell
# ΔH_f (0 K) = 0.573 eV per atom
# space group = P4/mmm


# 6
# CoPb5, optimized geometry, DFT PBE-GGA
data_CoPb5
_chemical_formula_sum 'Co1 Pb5'
_symmetry_space_group_name_H-M 'P 1'
_symmetry_Int_Tables_number 1
_cell_length_a 6.186
_cell_length_b 6.186
_cell_length_c 6.019
_cell_angle_alpha 90.00
_cell_angle_beta 90.00
_cell_angle_gamma 120.00
loop_
_symmetry_equiv_pos_as_xyz
'x,y,z'
loop_
_atom_site_label
_atom_site_type_symbol
_atom_site_fract_x
_atom_site_fract_y
_atom_site_fract_z
_atom_site_occupancy
Co1 Co 0.000 0.000 0.000 1
Pb1 Pb 0.667 0.333 0.000 1
Pb2 Pb 0.333 0.667 0.000 1
Pb3 Pb 0.000 0.500 0.500 1
Pb4 Pb 0.500 0.500 0.500 1
Pb5 Pb 0.500 0.000 0.500 1
# N(E_F) = 8.74 states/eV per cell
# ΔH_f (0 K) = 0.729 eV per atom
# space group = P6/mmm


# 7
# Li2ZnFeH6, optimized geometry, DFT PBE-GGA
data_Li2ZnFeH6
_chemical_formula_sum 'Li2 Zn1 Fe1 H6'
_symmetry_space_group_name_H-M 'P 1'
_symmetry_Int_Tables_number 1
_cell_length_a 4.457
_cell_length_b 4.457
_cell_length_c 5.424
_cell_angle_alpha 65.74
_cell_angle_beta 65.73
_cell_angle_gamma 60.00
loop_
_symmetry_equiv_pos_as_xyz
'x,y,z'
loop_
_atom_site_label
_atom_site_type_symbol
_atom_site_fract_x
_atom_site_fract_y
_atom_site_fract_z
_atom_site_occupancy
Li1 Li 0.525 0.525 0.426 1
Li2 Li 0.000 0.000 0.001 1
Zn1 Zn 0.705 0.705 0.887 1
Fe1 Fe 0.349 0.349 0.953 1
H1 H 0.541 0.285 0.170 1
H2 H 0.285 0.003 0.170 1
H3 H 0.003 0.542 0.170 1
H4 H 0.381 0.716 0.746 1
H5 H 0.716 0.157 0.746 1
H6 H 0.157 0.381 0.746 1
# space group = R3


# 8
# CdReN2, optimized geometry, DFT PBE-GGA
data_CdReN2
_chemical_formula_sum 'Cd1 Re1 N2'
_symmetry_space_group_name_H-M 'P 1'
_symmetry_Int_Tables_number 1
_cell_length_a 7.248
_cell_length_b 7.248
_cell_length_c 7.248
_cell_angle_alpha 23.40
_cell_angle_beta 23.40
_cell_angle_gamma 23.40
loop_
_symmetry_equiv_pos_as_xyz
'x,y,z'
loop_
_atom_site_label
_atom_site_type_symbol
_atom_site_fract_x
_atom_site_fract_y
_atom_site_fract_z
_atom_site_occupancy
Re1 Re 0.500 0.500 0.500 1
N1 N 0.890 0.890 0.890 1
N2 N 0.110 0.110 0.110 1
Cd1 Cd 0.000 0.000 0.000 1
# N(E_F) = 1.74 states/eV per cell
# ΔE_f (raw) = 31 kJ/mol of atoms
# space group = R-3m


# 9
# Ti2SbCO, optimized geometry, DFT PBE-GGA
data_Ti2SbCO
_chemical_formula_sum 'Ti2 Sb1 C1 O1'
_symmetry_space_group_name_H-M 'P 1'
_symmetry_Int_Tables_number 1
_cell_length_a 5.103
_cell_length_b 3.994
_cell_length_c 5.103
_cell_angle_alpha 90.00
_cell_angle_beta 90.00
_cell_angle_gamma 90.00
loop_
_symmetry_equiv_pos_as_xyz
'x,y,z'
loop_
_atom_site_label
_atom_site_type_symbol
_atom_site_fract_x
_atom_site_fract_y
_atom_site_fract_z
_atom_site_occupancy
Sb1 Sb 0.000 0.000 0.000 1
C1 C 0.500 0.500 0.500 1
O1 O 0.000 0.500 0.000 1
Ti1 Ti 0.000 0.000 0.500 1
Ti2 Ti 0.500 0.000 0.000 1
# N(E_F) = 4.74 states/eV per cell
# ΔE_f (raw) = 148 kJ/mol of atoms
# space group = P4/mmm


# 10
# Tc2PIBr, optimized geometry, DFT PBE-GGA
data_Tc2PIBr
_chemical_formula_sum 'Tc2 P1 I1 Br1'
_symmetry_space_group_name_H-M 'P 1'
_symmetry_Int_Tables_number 1
_cell_length_a 4.672
_cell_length_b 5.548
_cell_length_c 4.672
_cell_angle_alpha 90.00
_cell_angle_beta 90.00
_cell_angle_gamma 90.00
loop_
_symmetry_equiv_pos_as_xyz
'x,y,z'
loop_
_atom_site_label
_atom_site_type_symbol
_atom_site_fract_x
_atom_site_fract_y
_atom_site_fract_z
_atom_site_occupancy
I1 I 0.000 0.500 0.000 1
P1 P 0.000 0.000 0.000 1
Tc1 Tc 0.000 0.000 0.500 1
Tc2 Tc 0.500 0.000 0.000 1
Br1 Br 0.500 0.500 0.500 1
# N(E_F) = 4.99 states/eV per cell
# ΔE_f (raw) = 107 kJ/mol of atoms
# space group = P4/mmm


# 11
# YNiAu2, optimized geometry, DFT PBE-GGA
data_YNiAu2
_chemical_formula_sum 'Y1 Ni1 Au2'
_symmetry_space_group_name_H-M 'P 1'
_symmetry_Int_Tables_number 1
_cell_length_a 5.173
_cell_length_b 5.173
_cell_length_c 4.133
_cell_angle_alpha 66.46
_cell_angle_beta 66.46
_cell_angle_gamma 47.63
loop_
_symmetry_equiv_pos_as_xyz
'x,y,z'
loop_
_atom_site_label
_atom_site_type_symbol
_atom_site_fract_x
_atom_site_fract_y
_atom_site_fract_z
_atom_site_occupancy
Au1 Au 0.000 0.000 0.000 1
Au2 Au 0.749 0.749 0.751 1
Ni1 Ni 0.501 0.501 0.499 1
Y1 Y 0.251 0.251 0.249 1
# N(E_F) = 2.30 states/eV per cell
# ΔH_f (0 K) = -0.476 eV per atom
# space group = Imm2


# 12
# Tb7Nd2, optimized geometry, DFT PBE-GGA
data_Tb7Nd2
_chemical_formula_sum 'Tb7 Nd2'
_symmetry_space_group_name_H-M 'P 1'
_symmetry_Int_Tables_number 1
_cell_length_a 3.560
_cell_length_b 9.774
_cell_length_c 9.774
_cell_angle_alpha 120.00
_cell_angle_beta 90.00
_cell_angle_gamma 90.00
loop_
_symmetry_equiv_pos_as_xyz
'x,y,z'
loop_
_atom_site_label
_atom_site_type_symbol
_atom_site_fract_x
_atom_site_fract_y
_atom_site_fract_z
_atom_site_occupancy
Tb1 Tb 0.500 0.647 0.000 1
Tb2 Tb 0.500 0.000 0.647 1
Tb3 Tb 0.500 0.353 0.353 1
Tb4 Tb 0.000 0.305 0.000 1
Tb5 Tb 0.000 0.000 0.305 1
Tb6 Tb 0.000 0.695 0.695 1
Tb7 Tb 0.500 0.000 0.000 1
Nd1 Nd 0.000 0.667 0.333 1
Nd2 Nd 0.000 0.333 0.667 1
# N(E_F) = 16.21 states/eV per cell
# polymorph energy (0 for the lowest one) = 28 meV per atom
# ΔH_f (0 K) = 0.043 eV per atom
# space group = P-62m


| no. | final energy (eV per atom) |
| --- | --- |
| 1 | -3.10 |
| 2 | -3.03 |
| 3 | -5.36 |
| 4 | -3.86 |
| 5 | -7.78 |
| 6 | -3.55 |
| 7 | -3.56 |
| 8 | -7.19 |
| 9 | -5.29 |
| 10 | -4.77 |
| 11 | -5.18 |
| 12 | -4.62 |